This record from Alexandria via LeMat-Bulk describes crystalline HfTe6Cl6 at its relaxed geometry. The functional is PBEsol.

a b c (Å): 11.0363 10.8807 12.8944
angles (deg): 90.00 90.00 90.00
Fractional positions:
Hf (0.2374, 0.2048, 0.2500)
Hf (0.2374, 0.2952, 0.7500)
Hf (0.7626, 0.7048, 0.2500)
Hf (0.7626, 0.7952, 0.7500)
Te (0.1117, 0.6299, 0.5316)
Te (0.1117, 0.6299, 0.9684)
Te (0.1117, 0.8701, 0.0316)
Te (0.1117, 0.8701, 0.4684)
Te (0.2215, 0.7351, 0.7500)
Te (0.2215, 0.7649, 0.2500)
Te (0.3158, 0.5963, 0.0992)
Te (0.3158, 0.5963, 0.4008)
Te (0.3158, 0.9037, 0.5992)
Te (0.3158, 0.9037, 0.9008)
Te (0.4798, 0.7500, 0.0000)
Te (0.4798, 0.7500, 0.5000)
Te (0.5202, 0.2500, 0.0000)
Te (0.5202, 0.2500, 0.5000)
Te (0.6842, 0.0963, 0.0992)
Te (0.6842, 0.0963, 0.4008)
Te (0.6842, 0.4037, 0.5992)
Te (0.6842, 0.4037, 0.9008)
Te (0.7785, 0.2351, 0.7500)
Te (0.7785, 0.2649, 0.2500)
Te (0.8883, 0.1299, 0.5316)
Te (0.8883, 0.1299, 0.9684)
Te (0.8883, 0.3701, 0.0316)
Te (0.8883, 0.3701, 0.4684)
Cl (0.0737, 0.0556, 0.2500)
Cl (0.0737, 0.4444, 0.7500)
Cl (0.1397, 0.1687, 0.6178)
Cl (0.1397, 0.1687, 0.8822)
Cl (0.1397, 0.3313, 0.1178)
Cl (0.1397, 0.3313, 0.3822)
Cl (0.3405, 0.0820, 0.1162)
Cl (0.3405, 0.0820, 0.3838)
Cl (0.3405, 0.4180, 0.6162)
Cl (0.3405, 0.4180, 0.8838)
Cl (0.4068, 0.1573, 0.7500)
Cl (0.4068, 0.3427, 0.2500)
Cl (0.5932, 0.6573, 0.7500)
Cl (0.5932, 0.8427, 0.2500)
Cl (0.6595, 0.5820, 0.1162)
Cl (0.6595, 0.5820, 0.3838)
Cl (0.6595, 0.9180, 0.6162)
Cl (0.6595, 0.9180, 0.8838)
Cl (0.8603, 0.6687, 0.6178)
Cl (0.8603, 0.6687, 0.8822)
Cl (0.8603, 0.8313, 0.1178)
Cl (0.8603, 0.8313, 0.3822)
Cl (0.9263, 0.5556, 0.2500)
Cl (0.9263, 0.9444, 0.7500)

## Properties
- E_form (uncorrected) (eV per atom) = -0.796
- E (eV per atom) = -4.16
- space group = No. 57